No. 1
# BeTlFePt

A relaxed structure of BeTlFePt (PBE-GGA, OQMD via LeMat-Bulk).

space group	F-43m (216)
polymorph energy (0 for the lowest one)	0.0	meV per atom

a b c (Å): 4.3911 4.3911 4.3911
angles (deg): 60.00 60.00 60.00
With the nearest neighbours (Å) after each atom.
Sites, in units of the cell vectors:
Be 0.2500 0.2500 0.2500  4 Pt 2.69, 4 Tl 2.69
Tl 0.0000 0.0000 0.0000  4 Fe 2.69, 4 Be 2.69
Pt 0.5000 0.5000 0.5000  4 Fe 2.69, 4 Be 2.69
Fe 0.7500 0.7500 0.7500  4 Tl 2.69, 4 Pt 2.69

=====

No. 2
# BeZnFePt

A relaxed structure of BeZnFePt (PBE-GGA, OQMD via LeMat-Bulk).

space group	F-43m (216)
polymorph energy (0 for the lowest one)	16.0	meV per atom

a b c (Å): 4.1481 4.1481 4.1481
angles (deg): 60.00 60.00 60.00
With the nearest neighbours (Å) after each atom.
Sites, in units of the cell vectors:
Pt 0.5000 0.5000 0.5000  4 Be 2.54, 4 Fe 2.54
Be 0.2500 0.2500 0.2500  4 Zn 2.54, 4 Pt 2.54
Fe 0.7500 0.7500 0.7500  4 Zn 2.54, 4 Pt 2.54
Zn 0.0000 0.0000 0.0000  4 Be 2.54, 4 Fe 2.54

=====

No. 3
# BeZnFePt

A relaxed structure of BeZnFePt (PBE-GGA, OQMD via LeMat-Bulk).

space group	F-43m (216)
polymorph energy (0 for the lowest one)	0.0	meV per atom

a b c (Å): 4.1095 4.1095 4.1095
angles (deg): 60.00 60.00 60.00
With the nearest neighbours (Å) after each atom.
Sites, in units of the cell vectors:
Pt 0.2500 0.2500 0.2500  4 Be 2.52, 4 Zn 2.52
Fe 0.7500 0.7500 0.7500  4 Zn 2.52, 4 Be 2.52
Be 0.5000 0.5000 0.5000  4 Fe 2.52, 4 Pt 2.52
Zn 0.0000 0.0000 0.0000  4 Fe 2.52, 4 Pt 2.52

=====

No. 4
# RbBeFeRe

A relaxed structure of RbBeFeRe (PBE-GGA, OQMD via LeMat-Bulk).

space group	F-43m (216)
polymorph energy (0 for the lowest one)	0.0	meV per atom

a b c (Å): 4.6003 4.6003 4.6003
angles (deg): 60.00 60.00 60.00
With the nearest neighbours (Å) after each atom.
Sites, in units of the cell vectors:
Be 0.7500 0.7500 0.7500  4 Re 2.82, 4 Rb 2.82
Rb 0.5000 0.5000 0.5000  4 Be 2.82, 4 Fe 2.82
Fe 0.2500 0.2500 0.2500  4 Re 2.82, 4 Rb 2.82
Re 0.0000 0.0000 0.0000  4 Be 2.82, 4 Fe 2.82

=====

No. 5
# RbBeFeRe

A relaxed structure of RbBeFeRe (PBE-GGA, OQMD via LeMat-Bulk).

space group	F-43m (216)
polymorph energy (0 for the lowest one)	245.2	meV per atom

a b c (Å): 4.5320 4.5320 4.5320
angles (deg): 60.00 60.00 60.00
With the nearest neighbours (Å) after each atom.
Sites, in units of the cell vectors:
Be 0.7500 0.7500 0.7500  4 Fe 2.78, 4 Re 2.78
Fe 0.5000 0.5000 0.5000  4 Rb 2.78, 4 Be 2.78
Rb 0.2500 0.2500 0.2500  4 Fe 2.78, 4 Re 2.78
Re 0.0000 0.0000 0.0000  4 Rb 2.78, 4 Be 2.78

=====

No. 6
# RbBeFeS3

A relaxed structure of RbBeFeS3 (PBE-GGA, OQMD via LeMat-Bulk).

space group	Cmcm (63)

a b c (Å): 7.5907 7.5907 9.5168
angles (deg): 90.00 90.00 153.40
With the nearest neighbours (Å) after each atom.
Sites, in units of the cell vectors:
S 0.5505 0.4495 0.2500  2 Be 2.12
S 0.8968 0.1032 0.4395  1 Be 2.10
S 0.1032 0.8968 0.5605  1 Be 2.10
S 0.8968 0.1032 0.0605  1 Be 2.10
S 0.1032 0.8968 0.9395  1 Be 2.10
S 0.4495 0.5505 0.7500  2 Be 2.12
Be 0.0308 0.9692 0.7500  4 S 2.10-2.12
Be 0.9692 0.0308 0.2500  4 S 2.10-2.12
Fe 0.5000 0.5000 0.5000  6 S 2.39-2.49
Fe 0.5000 0.5000 0.0000  6 S 2.39-2.49
Rb 0.7605 0.2395 0.7500  8 S 3.29-3.58, 2 Rb 3.49
Rb 0.2395 0.7605 0.2500  8 S 3.29-3.58, 2 Rb 3.49

=====

Going through the records in order, we get density values of 12.878 10.704 11.009 8.118 8.490 3.334 Mg/m³.
Going through the records in order, we get VASP energy values of -4.86 -5.02 -5.04 -4.54 -4.29 -4.96 eV/atom.